Here is an optimized crystal structure of BPtRh from Alexandria via LeMat-Bulk. Energies are from PBE-GGA.

abc: 3.7817 3.7817 3.7817
angles: 60.00 60.00 60.00
Atoms (fractional coordinates):
1 Pt 0.5000 0.5000 0.5000
2 B 0.2500 0.2500 0.2500
3 Rh 0.0000 0.0000 0.0000

Magnetic moment ... 0.00 μB/cell
Energy of formation ... -0.20 eV per atom